Below is an optimized crystal structure of BaCuSi2, with properties calculated at the PBE-GGA level.

Properties
SG   P4mm, No. 99
Raw total energy   -16.32 eV per cell
E_form (uncorrected)   0.136 eV per atom
Magnetization   0.0 μB/f.u.
Crystal system   tetragonal

abc: 3.404 3.404 7.156
angles: 90.00 90.00 90.00
Atoms (fractional coordinates):
Cu1 0.500 0.500 0.842
Ba1 0.000 0.000 0.498
Si1 0.500 0.500 0.169
Si2 0.000 0.000 0.991



Below is an optimized crystal structure of MgCu4Au8, with properties calculated at the PBE-GGA level.

Properties
SG   F-43m, No. 216
Raw total energy   -42.06 eV per cell
Energy relative to the elements   0.165 eV per atom
Magnetization   0.0 μB/f.u.
Crystal system   cubic

abc: 7.084 7.084 7.084
angles: 60.00 60.00 60.00
Atoms (fractional coordinates):
Cu1 0.345 0.966 0.345
Au1 0.099 0.704 0.099
Au2 0.602 0.194 0.602
Au3 0.704 0.099 0.099
Au4 0.099 0.099 0.099
Cu2 0.966 0.345 0.345
Au5 0.099 0.099 0.704
Au6 0.602 0.602 0.194
Au7 0.602 0.602 0.602
Cu3 0.345 0.345 0.345
Au8 0.194 0.602 0.602
Mg1 0.750 0.750 0.750
Cu4 0.345 0.345 0.966



Below is an optimized crystal structure of InTeRu, with properties calculated at the PBE-GGA level.

Properties
SG   P-6m2, No. 187
Raw total energy   -14.17 eV per cell
E_form (uncorrected)   0.329 eV per atom
Magnetization   0.0 μB/f.u.
Crystal system   hexagonal

abc: 4.639 4.639 3.375
angles: 90.00 90.00 120.00
Atoms (fractional coordinates):
Te1 0.333 0.667 0.500
Ru1 0.667 0.333 0.500
In1 0.000 0.000 0.000